i) GaAgAu | PBE | relaxed

Calculated values
D(E_F) ... 1.10 states/eV/f.u.
Calculated density ... 11.671 g cm⁻³
M_tot ... 0.000 μB per formula unit

a b c (Å): 3.480 3.480 8.801
angles (deg): 90.00 90.00 90.00
Space group I4mm (No. 107)
Inequivalent atoms, fractional coordinates:
Ga 0.000 0.000 0.000 (multiplicity 2)
Ag 0.000 0.000 0.331 (multiplicity 2)
Au 0.000 0.000 0.657 (multiplicity 2)

***

ii) GaAgAu | PBE | relaxed

Calculated values
D(E_F) ... 1.24 states/eV/f.u.
Calculated density ... 11.649 g cm⁻³
M_tot ... 0.000 μB per formula unit

a b c (Å): 4.5354 4.5354 2.9973
angles (deg): 90.00 90.00 120.00
Space group P3m1 (No. 156)
Inequivalent atoms, fractional coordinates:
Ga 0.0000 0.0000 0.0000 (multiplicity 1)
Ag 0.6667 0.3333 0.5024 (multiplicity 1)
Au 0.3333 0.6667 0.0030 (multiplicity 1)

***

iii) GaAgAu | PBE | relaxed

Calculated values
D(E_F) ... 0.99 states/eV/f.u.
Calculated density ... 10.709 g cm⁻³
M_tot ... 0.000 μB per formula unit

a b c (Å): 7.714 4.380 7.187
angles (deg): 90.00 106.92 90.00
Space group Cm (No. 8)
Inequivalent atoms, fractional coordinates:
Ga 0.000 0.000 0.000 (multiplicity 2)
Ga 0.070 0.500 0.670 (multiplicity 2)
Ag 0.124 0.000 0.436 (multiplicity 2)
Ag 0.412 0.000 0.280 (multiplicity 2)
Au 0.199 0.500 0.112 (multiplicity 2)
Au 0.292 0.000 0.833 (multiplicity 2)

***

iv) GaAgAu | PBE | relaxed

Calculated values
D(E_F) ... 2.82 states/eV/f.u.
Calculated density ... 10.578 g cm⁻³
M_tot ... 0.000 μB per formula unit

a b c (Å): 6.173 6.173 6.173
angles (deg): 90.00 90.00 90.00
Space group F-43m (No. 216)
Inequivalent atoms, fractional coordinates:
Ga 0.000 0.000 0.000 (multiplicity 4)
Ag 0.250 0.250 0.750 (multiplicity 4)
Au 0.250 0.250 0.250 (multiplicity 4)

***

Stability ranking, top and bottom: ii) is the most stable and iv) is the least stable.

***

i) GaAgAu | PBE | relaxed

Calculated values
D(E_F) ... 1.09 states/eV/f.u.
Calculated density ... 9.740 g cm⁻³
M_tot ... 0.000 μB per formula unit

a b c (Å): 7.520 8.823 7.700
angles (deg): 90.00 90.00 90.00
Space group Cmce (No. 64)
Inequivalent atoms, fractional coordinates:
Ga 0.000 0.221 0.098 (multiplicity 8)
Ag 0.187 0.000 0.500 (multiplicity 8)
Au 0.000 0.067 0.813 (multiplicity 8)

***

ii) GaAgAu | PBE | relaxed

Calculated values
D(E_F) ... 0.68 states/eV/f.u.
Calculated density ... 11.723 g cm⁻³
M_tot ... 0.000 μB per formula unit

a b c (Å): 11.172 2.967 6.662
angles (deg): 90.00 106.06 90.00
Space group C2/m (No. 12)
Inequivalent atoms, fractional coordinates:
Ga 0.135 0.000 0.030 (multiplicity 4)
Ag 0.030 0.500 0.307 (multiplicity 4)
Au 0.200 0.000 0.666 (multiplicity 4)

***

Stability ranking, top and bottom: ii) is the most stable and i) is the least stable.

***

i) Ga2Ag5Au5 | PBE | relaxed

Calculated values
D(E_F) ... 3.34 states/eV/f.u.
Calculated density ... 12.867 g cm⁻³
M_tot ... 0.000 μB per formula unit

a b c (Å): 9.349 4.742 10.249
angles (deg): 90.00 109.11 90.00
Space group C2/m (No. 12)
Inequivalent atoms, fractional coordinates:
Ga 0.089 0.000 0.242 (multiplicity 4)
Ag 0.000 0.500 0.000 (multiplicity 2)
Ag 0.087 0.500 0.756 (multiplicity 4)
Ag 0.171 0.500 0.514 (multiplicity 4)
Au 0.000 0.000 0.500 (multiplicity 2)
Au 0.157 0.000 0.973 (multiplicity 4)
Au 0.236 0.500 0.263 (multiplicity 4)

***

ii) Ga2Ag5Au5 | PBE | relaxed

Calculated values
D(E_F) ... 2.67 states/eV/f.u.
Calculated density ... 12.926 g cm⁻³
M_tot ... 0.000 μB per formula unit

a b c (Å): 13.270 4.469 8.412
angles (deg): 90.00 121.04 90.00
Space group C2/m (No. 12)
Inequivalent atoms, fractional coordinates:
Ga 0.159 0.000 0.015 (multiplicity 4)
Ag 0.000 0.500 0.000 (multiplicity 2)
Ag 0.088 0.500 0.754 (multiplicity 4)
Ag 0.173 0.500 0.496 (multiplicity 4)
Au 0.000 0.000 0.500 (multiplicity 2)
Au 0.074 0.000 0.245 (multiplicity 4)
Au 0.246 0.000 0.782 (multiplicity 4)

***

Stability ranking, top and bottom: ii) is the most stable and i) is the least stable.